Record 1
Compound: Rb3CdOs2O8
Source: the Alexandria database
Functional: PBE
Structure: relaxed

Geometry as POSCAR:
```
Rb3CdOs2O8
1.0
6.3524 0.0000 0.0000
-3.1762 5.5013 0.0000
0.0000 0.0000 9.3270
O Os Rb Cd
8 2 3 1
direct
0.6667 0.3333 0.0167
0.1811 0.3621 0.2443
0.8189 0.1811 0.7557
0.3333 0.6667 0.9833
0.1811 0.8189 0.2443
0.6379 0.8189 0.2443
0.3621 0.1811 0.7557
0.8189 0.6379 0.7557
0.3333 0.6667 0.1747
0.6667 0.3333 0.8253
0.6667 0.3333 0.3122
0.3333 0.6667 0.6878
0.0000 0.0000 0.0000
0.0000 0.0000 0.5000
```

Values from the calculation:
The space-group type is P-3m1. The uncorrected formation energy is -1.15 eV/atom. The total magnetic moment comes out at 3.0 μB/cell.

=====

Record 2
Compound: Rb3Cd2OsO6
Source: the Alexandria database
Functional: PBE
Structure: relaxed

Geometry as POSCAR:
```
Rb3Cd2OsO6
1.0
-0.1335 4.4233 -4.0162
-4.5963 -0.7949 3.7357
4.2747 2.6726 4.2600
Cd Rb O Os
2 3 6 1
direct
0.6660 0.3340 0.0000
0.3340 0.6660 0.0000
0.5000 0.5000 0.5000
0.1724 0.8276 0.5000
0.8276 0.1724 0.5000
0.0592 0.3431 0.1725
0.7768 0.7768 0.1783
0.3431 0.0592 0.1725
0.2232 0.2232 0.8217
0.6569 0.9408 0.8275
0.9408 0.6569 0.8275
0.0000 0.0000 0.0000
```

Values from the calculation:
The space-group type is C2/m. The uncorrected formation energy is -1.14 eV/atom. The total magnetic moment comes out at 2.9 μB/cell.

=====

Record 3
Compound: Rb2Cd2OsO6
Source: the Alexandria database
Functional: PBE
Structure: relaxed

Geometry as POSCAR:
```
Rb2Cd2OsO6
1.0
5.7957 0.0751 0.0295
-2.7992 5.0754 0.0295
-1.0969 -1.8855 6.3980
O Rb Cd Os
6 2 2 1
direct
0.6631 0.9447 0.3315
0.9447 0.6631 0.3315
0.3369 0.0553 0.6685
0.2129 0.2129 0.3312
0.0553 0.3369 0.6685
0.7871 0.7871 0.6688
0.1760 0.8240 0.0000
0.8240 0.1760 0.0000
0.3376 0.6624 0.5000
0.6624 0.3376 0.5000
0.0000 0.0000 0.5000
```

Values from the calculation:
The space-group type is C2/m. The uncorrected formation energy is -1.15 eV/atom. The total magnetic moment comes out at 0.0 μB/cell.

=====

Record 4
Compound: Cd2ReOsO
Source: the Alexandria database
Functional: PBE
Structure: relaxed

Geometry as POSCAR:
```
Cd2ReOsO
1.0
-2.2387 2.0070 4.4638
1.5668 -2.6093 1.9590
4.3042 3.1439 0.7451
Re O Cd Os
1 1 2 1
direct
0.0000 0.0000 0.0000
0.0000 0.5000 0.0000
0.0000 0.0000 0.5000
0.5000 0.0000 0.0000
0.5000 0.5000 0.5000
```

Values from the calculation:
The space-group type is P4/mmm. The uncorrected formation energy is 1.01 eV/atom. The total magnetic moment comes out at 2.7 μB/cell.

=====

Number 1: theoretical density 4.5 Mg/m³. Number 2: theoretical density 6.5 Mg/m³. Number 3: theoretical density 6.0 Mg/m³. Number 4: theoretical density 9.8 Mg/m³.